A relaxed structure of LiTlSnH2. Source: Alexandria, functional GGA-PBE.

Results
M_tot (μB per formula unit): 0.00
E (eV/cell): -12.9
Calculated volume (Å³/atom): 19.2

Cell lengths 3.8762, 3.8762, 6.3903 Å; angles 90.00, 90.00, 90.00 degrees
Last column: nearest neighbours and their distance in Å.
Element x y z (fractional)
Li 0.0000 0.0000 0.0000  4 Sn 2.74
Tl 0.0000 0.0000 0.5000  4 H 1.94
Sn 0.5000 0.5000 0.0000  4 Li 2.74
H 0.0000 0.5000 0.5000  2 Tl 1.94
H 0.5000 0.0000 0.5000  2 Tl 1.94

---

A relaxed structure of MgZr4Cd5. Source: Alexandria, functional GGA-PBE.

Results
M_tot (μB per formula unit): 0.80
Calculated volume (Å³/atom): 21.5
ΔH_f (0 K) (eV per atom): -0.111

Cell lengths 3.1946, 3.1946, 21.1089 Å; angles 90.00, 90.00, 90.00 degrees
Last column: nearest neighbours and their distance in Å.
Element x y z (fractional)
Mg 0.0000 0.0000 0.0000  8 Cd 3.01, 4 Mg 3.19
Zr 0.0000 0.0000 0.1959  8 Cd 3.10-3.12, 4 Zr 3.19
Zr 0.0000 0.0000 0.3987  8 Cd 3.11-3.12, 4 Zr 3.19
Zr 0.0000 0.0000 0.6013  8 Cd 3.11-3.12, 4 Zr 3.19
Zr 0.0000 0.0000 0.8041  8 Cd 3.10-3.12, 4 Zr 3.19
Cd 0.5000 0.5000 0.0941  4 Mg 3.01, 4 Zr 3.12, 4 Cd 3.19
Cd 0.5000 0.5000 0.2967  8 Zr 3.10-3.12, 4 Cd 3.19
Cd 0.5000 0.5000 0.5000  8 Zr 3.11, 4 Cd 3.19
Cd 0.5000 0.5000 0.7033  8 Zr 3.10-3.12, 4 Cd 3.19
Cd 0.5000 0.5000 0.9059  4 Mg 3.01, 4 Zr 3.12, 4 Cd 3.19

---

A relaxed structure of KCaZn2F8. Source: Alexandria, functional GGA-PBE.

Results
M_tot (μB per formula unit): 1.18
Calculated volume (Å³/atom): 15.0
Raw formation energy (eV/atom): -2.58

Cell lengths 7.0449, 7.0449, 7.0449 Å; angles 133.69, 133.69, 67.58 degrees
Last column: nearest neighbours and their distance in Å.
Element x y z (fractional)
K 0.0000 0.0000 0.0000  8 F 2.64-2.73
Ca 0.2500 0.7500 0.5000  8 F 2.37-2.43
Zn 0.5000 0.5000 0.0000  4 F 1.93
Zn 0.7500 0.2500 0.5000  4 F 1.90
F 0.0012 0.0667 0.4312  1 Zn 1.90
F 0.2744 0.6691 0.1221  1 Zn 1.93
F 0.3309 0.4530 0.6054  1 Zn 1.93
F 0.4299 0.9988 0.0655  1 Zn 1.90
F 0.5470 0.1524 0.8779  1 Zn 1.93
F 0.6355 0.5701 0.5688  1 Zn 1.90
F 0.8476 0.7256 0.3946  1 Zn 1.93
F 0.9333 0.3645 0.9345  1 Zn 1.90

---

A relaxed structure of TlAgBPd2. Source: Alexandria, functional GGA-PBE.

Results
M_tot (μB per formula unit): 0.00
Calculated volume (Å³/atom): 16.3
ΔH_f (0 K) (eV per atom): 0.071

Cell lengths 4.2699, 4.2699, 4.4833 Å; angles 90.00, 90.00, 90.00 degrees
Last column: nearest neighbours and their distance in Å.
Element x y z (fractional)
Tl 0.0000 0.0000 0.0000  4 Ag 3.02, 8 Pd 3.10
Ag 0.5000 0.5000 0.0000  2 B 2.24
B 0.5000 0.5000 0.5000  4 Pd 2.13, 2 Ag 2.24
Pd 0.0000 0.5000 0.5000  2 B 2.13
Pd 0.5000 0.0000 0.5000  2 B 2.13

---

A relaxed structure of GdErCu4. Source: Alexandria, functional GGA-PBE.

Results
M_tot (μB per formula unit): 7.10
Calculated volume (Å³/atom): 17.2
ΔH_f (0 K) (eV per atom): -0.168

Cell lengths 5.2608, 5.2608, 5.2608 Å; angles 60.00, 60.00, 60.00 degrees
Last column: nearest neighbours and their distance in Å.
Element x y z (fractional)
Gd 0.0000 0.0000 0.0000  12 Cu 3.09, 4 Er 3.22
Er 0.2500 0.2500 0.2500  12 Cu 3.08, 4 Gd 3.22
Cu 0.1263 0.6246 0.6246  6 Cu 2.62-2.64
Cu 0.6246 0.1263 0.6246  6 Cu 2.62-2.64
Cu 0.6246 0.6246 0.1263  6 Cu 2.62-2.64
Cu 0.6246 0.6246 0.6246  6 Cu 2.62-2.64

---

A relaxed structure of Ho5Pb4O. Source: Alexandria, functional GGA-PBE.

Results
M_tot (μB per formula unit): 0.00
Calculated volume (Å³/atom): 27.2
Raw formation energy (eV/atom): -0.78

Cell lengths 7.3047, 7.3047, 7.3047 Å; angles 100.42, 100.42, 129.65 degrees
Last column: nearest neighbours and their distance in Å.
Element x y z (fractional)
Ho 0.0000 0.0000 0.0000  1 O 2.26
Ho 0.1969 0.3243 0.6528  1 O 2.48
Ho 0.3243 0.6715 0.1274  1 O 2.48
Ho 0.5441 0.1969 0.8726  1 O 2.48
Ho 0.6715 0.5441 0.3472  1 O 2.48
Pb 0.2543 0.9948 0.3932  6 Ho 3.08-3.28
Pb 0.6016 0.8611 0.6068  6 Ho 3.08-3.28
Pb 0.8611 0.2543 0.2595  6 Ho 3.08-3.28
Pb 0.9948 0.6016 0.7405  6 Ho 3.08-3.28
O 0.3637 0.3637 0.0000  5 Ho 2.26-2.48